{
  "formula": "Be2Pb2N",
  "functional": "PBE",
  "state": "relaxed",
  "cell": [[6.998, 0.000, 0.000], [0.000, 6.998, 0.000], [0.000, 0.000, 3.676]],
  "species": ["Be", "Be", "Be", "Be", "Pb", "Pb", "Pb", "Pb", "N", "N"],
  "frac_coords": [[0.103, 0.397, 0.000], [0.397, 0.897, 0.000], [0.603, 0.103, 0.000], [0.897, 0.603, 0.000], [0.201, 0.701, 0.500], [0.299, 0.201, 0.500], [0.701, 0.799, 0.500], [0.799, 0.299, 0.500], [0.000, 0.000, 0.500], [0.500, 0.500, 0.500]],
  "crystal_system": "tetragonal",
  "magmom_total_mub_per_fu": 0.00,
  "formation_energy_uncorrected_mev_per_atom": 1187,
  "relative_energy_ev_per_atom": 0.216,
  "rho_g_cm3": 8.2,
  "sg": "P4/mbm (127)"
}